Record 1
Below is a relaxed structure of PuIn2Cl8, with properties calculated at the PBE-GGA level.

Values from the calculation:
Its uncorrected formation energy is -1.233 eV/atom. As for the space group: C2/m (12).

Unit cell a=8.0552 b=8.0552 c=7.0090 alpha=99.02 beta=99.02 gamma=62.18
Positions (direct):
Pu (0.0000, 0.0000, 0.0000)
In (0.1984, 0.1984, 0.6622)
In (0.8016, 0.8016, 0.3378)
Cl (0.1119, 0.6857, 0.2115)
Cl (0.1652, 0.1652, 0.2991)
Cl (0.3143, 0.8881, 0.7885)
Cl (0.3709, 0.3709, 0.7680)
Cl (0.6291, 0.6291, 0.2320)
Cl (0.6857, 0.1119, 0.2115)
Cl (0.8348, 0.8348, 0.7009)
Cl (0.8881, 0.3143, 0.7885)

Record 2
Below is a relaxed structure of Pu2In5Cl12, with properties calculated at the PBE-GGA level.

Values from the calculation:
Its uncorrected formation energy is -1.288 eV/atom. The value obtained for the excess energy over the best structure of this formula in the dataset is 0.0000 eV per atom. As for the space group: C2/m (12).

Unit cell a=9.7313 b=9.7313 c=7.0685 alpha=102.73 beta=102.73 gamma=60.62
Positions (direct):
Pu (0.2419, 0.7581, 0.0000)
Pu (0.7581, 0.2419, 0.0000)
In (0.1545, 0.1545, 0.4959)
In (0.2630, 0.2630, 0.9958)
In (0.5000, 0.5000, 0.5000)
In (0.7370, 0.7370, 0.0042)
In (0.8455, 0.8455, 0.5041)
Cl (0.0107, 0.0107, 0.7718)
Cl (0.0261, 0.6393, 0.8071)
Cl (0.2256, 0.5927, 0.2918)
Cl (0.3607, 0.9739, 0.1929)
Cl (0.4073, 0.7744, 0.7082)
Cl (0.4261, 0.4261, 0.7830)
Cl (0.5739, 0.5739, 0.2170)
Cl (0.5927, 0.2256, 0.2918)
Cl (0.6393, 0.0261, 0.8071)
Cl (0.7744, 0.4073, 0.7082)
Cl (0.9739, 0.3607, 0.1929)
Cl (0.9893, 0.9893, 0.2282)

Record 3
Below is a relaxed structure of RbPuInCl5, with properties calculated at the PBE-GGA level.

Values from the calculation:
Its uncorrected formation energy is -1.652 eV/atom. As for the space group: C2/c (15).

Unit cell a=8.7902 b=8.7902 c=8.9991 alpha=105.88 beta=105.88 gamma=101.46
Positions (direct):
Rb (0.0936, 0.9064, 0.7500)
Rb (0.9064, 0.0936, 0.2500)
Pu (0.0000, 0.5000, 0.0000)
Pu (0.5000, 0.0000, 0.5000)
In (0.4639, 0.5361, 0.7500)
In (0.5361, 0.4639, 0.2500)
Cl (0.1373, 0.5410, 0.7734)
Cl (0.1385, 0.2583, 0.0419)
Cl (0.2583, 0.1385, 0.5419)
Cl (0.2788, 0.7212, 0.2500)
Cl (0.4590, 0.8627, 0.7266)
Cl (0.5410, 0.1373, 0.2734)
Cl (0.7212, 0.2788, 0.7500)
Cl (0.7417, 0.8615, 0.4581)
Cl (0.8615, 0.7417, 0.9581)
Cl (0.8627, 0.4590, 0.2266)